Compound: UTePdSe
Source: the Alexandria database
Functional: PBE
Structure: optimized geometry

```
8
Lattice="4.455 0.000 0.000 0.000 4.455 0.000 0.000 0.000 8.985" Properties=species:S:1:pos:R:3 pbc="T T T"
U 1.114 1.114 1.879
U 3.341 3.341 7.107
Te 1.114 1.114 6.119
Te 3.341 3.341 2.866
Pd 1.114 3.341 4.493
Pd 3.341 1.114 4.493
Se 1.114 3.341 0.000
Se 3.341 1.114 0.000
```

Crystal system: tetragonal
Raw formation energy in eV per atom: -0.70
Calculated total energy in eV per cell: -51.8